Crystalline TcIr2Pt at its relaxed geometry, computed with PBEsol.

Computed properties:
The calculation puts the final energy at -9.593 eV per atom. As for the space group: Pmmm, No. 47. The size of the total moment comes out at 0.00 Bohr magnetons per cell. The calculation puts the density at 19.79 g cm⁻³. The density of states at the Fermi level comes out at 3.8 states/eV per cell.

Unit cell a=2.712 b=3.831 c=5.470 alpha=90.00 beta=90.00 gamma=90.00
Positions (direct):
Tc  0.000  0.000  0.000
Ir  0.500  0.500  0.241
Ir  0.500  0.500  0.759
Pt  0.000  0.000  0.500